VASP calculation (GGA-PBE) on an optimized crystal structure of Tb2ZrCu.

Values from the calculation:
E: -0.2037 hartree per atom
Energy relative to the lowest polymorph listed for this composition: 0 meV/atom
Formation enthalpy at 0 K: -25 kJ/mol of formula units

Cell: 3.4176 3.4176 8.2528 Å, 90.00 90.00 90.00°
Positions (direct):
Tb 0.0000 0.0000 0.7817
Tb 0.0000 0.0000 0.2183
Cu 0.5000 0.5000 0.0000
Zr 0.5000 0.5000 0.5000